This record from the Alexandria database describes crystalline La12Pm5Ho at its relaxed geometry. The functional is PBE.

Cell: 11.086 11.086 6.417 Å, 106.58 106.58 59.79°
Element x y z (fractional)
La1 0.003 0.665 0.167
La2 0.164 0.503 0.667
La3 0.168 0.832 0.000
La4 0.329 0.671 0.500
La5 0.335 0.997 0.833
La6 0.497 0.836 0.333
La7 0.503 0.164 0.667
La8 0.665 0.003 0.167
La9 0.671 0.329 0.500
La10 0.832 0.168 0.000
La11 0.836 0.497 0.333
La12 0.997 0.335 0.833
Pm1 0.166 0.166 0.335
Pm2 0.333 0.333 0.168
Pm3 0.500 0.500 0.000
Pm4 0.667 0.667 0.832
Pm5 0.834 0.834 0.665
Ho1 0.000 0.000 0.500

Summary:
- energy of formation from the pure elements (eV per atom) = 0.02
- E_tot (eV/atom) = -4.841